Below is a geometry-optimized Cu2TcIr structure, with properties calculated at the PBE-GGA level.

Unit cell a=3.817 b=3.817 c=7.323 alpha=90.00 beta=90.00 gamma=90.00
Space group I-4m2 (No. 119)
Unique sites:
Cu 0.000 0.000 0.000
Cu 0.000 0.500 0.250
Tc 0.000 0.000 0.500
Ir 0.000 0.500 0.750

## Properties
Distance to the lowest polymorph of the same formula   100 meV/atom
Formation enthalpy at 0 K   0.1347 eV per atom